The following is a PBE+U calculation of a geometry-optimized YHoCo2B2O2 structure, from OQMD.

Structure (CIF):
```
data_YHoCo2B2O2
_chemical_formula_sum 'Y1 Ho1 Co2 B2 O2'
_space_group_name_H-M_alt 'P 4 m m'
_space_group_IT_number 99
_cell_length_a 3.4811
_cell_length_b 3.4811
_cell_length_c 7.3285
_cell_angle_alpha 90.00
_cell_angle_beta 90.00
_cell_angle_gamma 90.00
loop_
_space_group_symop_operation_xyz
'x,y,z'
'-y,x,z'
'-x,-y,z'
'y,-x,z'
'-x,y,z'
'y,x,z'
'x,-y,z'
'-y,-x,z'
loop_
_atom_site_label
_atom_site_fract_x
_atom_site_fract_y
_atom_site_fract_z
Y1 0.0000 0.0000 0.0000
Ho1 0.5000 0.5000 0.6158
Co1 0.0000 0.5000 0.3098
B1 0.0000 0.0000 0.4475
B2 0.5000 0.5000 0.1734
O1 0.0000 0.0000 0.6723
O2 0.5000 0.5000 0.9420
```

- ρ: 8.0 Mg/m³
- Final energy: -6.8974 eV per atom
- Magnetization: 0.018 Bohr magnetons per cell